1) The following is a DFT calculation (PBE-GGA) of a relaxed structure of MgPRuS2.

## Properties
Magnetic moment, μB/f.u.: 0.002

Cell lengths 4.8524, 4.8524, 4.3391 Å; angles 90.00, 90.00, 90.00 degrees
Element x y z (fractional)
Ru 0.0000 0.0000 0.0000
S 0.0000 0.5000 0.0000
S 0.5000 0.0000 0.0000
Mg 0.5000 0.5000 0.5000
P 0.0000 0.0000 0.5000

=====

2) The following is a DFT calculation (PBE-GGA) of a relaxed structure of MgPRuS2.

## Properties
Magnetic moment, μB/f.u.: 2.033

Cell lengths 4.6526, 4.6526, 4.7795 Å; angles 90.00, 90.00, 90.00 degrees
Last column: magnetic moment on the atom in μB.
Element x y z (fractional)
Ru 0.5000 0.5000 0.5000  2.44
S 0.0000 0.5000 0.0000  -0.07
S 0.5000 0.0000 0.0000  -0.07
Mg 0.0000 0.0000 0.0000  0.00
P 0.0000 0.0000 0.5000  -0.18

=====

Energies relative to the minimum, eV/atom: 1) 0.000; 2) 0.859

=====

1) The following is a DFT calculation (PBE-GGA) of a relaxed structure of MgP2S2.

## Properties
Magnetic moment, μB/f.u.: 0.000

Cell lengths 4.8932, 4.8932, 4.5216 Å; angles 90.00, 90.00, 90.00 degrees
Element x y z (fractional)
P 0.0000 0.5000 0.0000
P 0.5000 0.0000 0.0000
S 0.5000 0.5000 0.5000
S 0.0000 0.0000 0.5000
Mg 0.0000 0.0000 0.0000

=====

2) The following is a DFT calculation (PBE-GGA) of a relaxed structure of MgP2S2.

## Properties
Magnetic moment, μB/f.u.: 0.000

Cell lengths 4.9978, 4.9978, 5.0778 Å; angles 60.52, 60.52, 90.00 degrees
Element x y z (fractional)
P 0.3494 0.3494 0.3011
P 0.6506 0.6506 0.6989
S 0.7500 0.2500 0.5000
S 0.2500 0.7500 0.5000
Mg 0.0000 0.0000 0.0000

=====

Energies relative to the minimum, eV/atom: 1) 0.840; 2) 0.000

=====

1) The following is a DFT calculation (PBE-GGA) of a relaxed structure of MgP2S2.

## Properties
Magnetic moment, μB/f.u.: 0.000

Cell lengths 4.5484, 4.5484, 4.6175 Å; angles 90.00, 90.00, 90.00 degrees
Element x y z (fractional)
P 0.0000 0.5000 0.0000
P 0.5000 0.0000 0.0000
S 0.0000 0.0000 0.0000
S 0.0000 0.0000 0.5000
Mg 0.5000 0.5000 0.5000

=====

2) The following is a DFT calculation (PBE-GGA) of a relaxed structure of MgP2S2.

## Properties
Magnetic moment, μB/f.u.: 0.000

Cell lengths 4.6601, 4.6601, 4.8689 Å; angles 90.00, 90.00, 90.00 degrees
Element x y z (fractional)
P 0.5000 0.5000 0.5000
P 0.0000 0.0000 0.5000
S 0.0000 0.5000 0.0000
S 0.5000 0.0000 0.0000
Mg 0.0000 0.0000 0.0000

=====

3) The following is a DFT calculation (PBE-GGA) of a relaxed structure of MgP2S2.

## Properties
Magnetic moment, μB/f.u.: 0.000

Cell lengths 4.5910, 4.5910, 4.4494 Å; angles 90.00, 90.00, 90.00 degrees
Element x y z (fractional)
P 0.0000 0.0000 0.0000
P 0.0000 0.0000 0.5000
S 0.0000 0.5000 0.0000
S 0.5000 0.0000 0.0000
Mg 0.5000 0.5000 0.5000

=====

Energies relative to the minimum, eV/atom: 1) 0.305; 2) 0.664; 3) 0.000

=====

1) The following is a DFT calculation (PBE-GGA) of a relaxed structure of MgPS2.

## Properties
Magnetic moment, μB/f.u.: 0.000

Cell lengths 7.5043, 7.5043, 7.5043 Å; angles 28.48, 28.48, 28.48 degrees
Element x y z (fractional)
P 0.0000 0.0000 0.0000
S 0.8982 0.8982 0.8982
S 0.1018 0.1018 0.1018
Mg 0.5000 0.5000 0.5000

=====

2) The following is a DFT calculation (PBE-GGA) of a relaxed structure of MgPS2.

## Properties
Magnetic moment, μB/f.u.: 0.000

Cell lengths 4.5355, 4.5355, 4.5355 Å; angles 60.00, 60.00, 60.00 degrees
Element x y z (fractional)
P 0.5000 0.5000 0.5000
S 0.2500 0.2500 0.2500
S 0.7500 0.7500 0.7500
Mg 0.0000 0.0000 0.0000

=====

3) The following is a DFT calculation (PBE-GGA) of a relaxed structure of MgPS2.

## Properties
Magnetic moment, μB/f.u.: 0.000

Cell lengths 5.1388, 5.1388, 7.5829 Å; angles 70.19, 70.19, 90.00 degrees
Element x y z (fractional)
P 0.0000 0.0000 0.0000
P 0.7500 0.2500 0.5000
S 0.6491 0.1250 0.2500
S 0.1009 0.6250 0.2500
S 0.3750 0.3509 0.7500
S 0.8750 0.8991 0.7500
Mg 0.5000 0.5000 0.0000
Mg 0.2500 0.7500 0.5000

=====

Energies relative to the minimum, eV/atom: 1) 0.022; 2) 0.339; 3) 0.000

=====

1) The following is a DFT calculation (PBE-GGA) of a relaxed structure of MgP2S6.

## Properties
Magnetic moment, μB/f.u.: 0.000

Cell lengths 5.8151, 9.1093, 9.1093 Å; angles 89.11, 71.10, 71.10 degrees
Element x y z (fractional)
Mg 0.2500 0.2160 0.7840
Mg 0.7500 0.7840 0.2160
P 0.2124 0.6383 0.8038
P 0.2876 0.1962 0.3617
P 0.7876 0.3617 0.1962
P 0.7124 0.8038 0.6383
S 0.4436 0.7105 0.5961
S 0.0564 0.4039 0.2895
S 0.5564 0.2895 0.4039
S 0.9436 0.5961 0.7105
S 0.9015 0.8455 0.4238
S 0.5985 0.5762 0.1545
S 0.0985 0.1545 0.5762
S 0.4015 0.4238 0.8455
S 0.0958 0.8084 0.9730
S 0.4042 0.0270 0.1916
S 0.9042 0.1916 0.0270
S 0.5958 0.9730 0.8084

=====

2) The following is a DFT calculation (PBE-GGA) of a relaxed structure of MgP2S6.

## Properties
Magnetic moment, μB/f.u.: 0.000

Cell lengths 7.3692, 6.7590, 6.7590 Å; angles 120.00, 90.00, 90.00 degrees
Element x y z (fractional)
Mg 0.0000 0.0000 0.0000
P 0.7871 0.3333 0.6667
P 0.2129 0.6667 0.3333
S 0.7578 0.6662 0.8331
S 0.7578 0.1669 0.8331
S 0.7578 0.1669 0.3338
S 0.2422 0.3338 0.1669
S 0.2422 0.8331 0.1669
S 0.2422 0.8331 0.6662

=====

Energies relative to the minimum, eV/atom: 1) 0.000; 2) 0.203

=====

1) The following is a DFT calculation (PBE-GGA) of a relaxed structure of MgScPS2.

## Properties
Magnetic moment, μB/f.u.: 0.001

Cell lengths 4.7119, 4.7119, 4.7231 Å; angles 90.00, 90.00, 90.00 degrees
Element x y z (fractional)
Sc 0.5000 0.5000 0.5000
P 0.0000 0.0000 0.5000
S 0.0000 0.5000 0.0000
S 0.5000 0.0000 0.0000
Mg 0.0000 0.0000 0.0000

=====

2) The following is a DFT calculation (PBE-GGA) of a relaxed structure of MgScPS2.

## Properties
Magnetic moment, μB/f.u.: 0.000

Cell lengths 4.8807, 4.8807, 4.9569 Å; angles 90.00, 90.00, 90.00 degrees
Element x y z (fractional)
Sc 0.0000 0.0000 0.0000
P 0.0000 0.0000 0.5000
S 0.0000 0.5000 0.0000
S 0.5000 0.0000 0.0000
Mg 0.5000 0.5000 0.5000

=====

Energies relative to the minimum, eV/atom: 1) 0.218; 2) 0.000

=====

1) The following is a DFT calculation (PBE-GGA) of a relaxed structure of MgTcPS2.

## Properties
Magnetic moment, μB/f.u.: 3.001

Cell lengths 4.6946, 4.6946, 4.8119 Å; angles 90.00, 90.00, 90.00 degrees
Last column: magnetic moment on the atom in μB.
Element x y z (fractional)
Mg 0.0000 0.0000 0.0000  0.00
P 0.0000 0.0000 0.5000  -0.28
S 0.0000 0.5000 0.0000  -0.16
S 0.5000 0.0000 0.0000  -0.16
Tc 0.5000 0.5000 0.5000  3.58

=====

2) The following is a DFT calculation (PBE-GGA) of a relaxed structure of MgTcPS2.

## Properties
Magnetic moment, μB/f.u.: 0.418

Cell lengths 4.7776, 4.7776, 4.4989 Å; angles 90.00, 90.00, 90.00 degrees
Last column: magnetic moment on the atom in μB.
Element x y z (fractional)
Mg 0.5000 0.5000 0.5000  0.00
P 0.0000 0.0000 0.5000  -0.01
S 0.0000 0.5000 0.0000  0.02
S 0.5000 0.0000 0.0000  0.02
Tc 0.0000 0.0000 0.0000  0.31

=====

Energies relative to the minimum, eV/atom: 1) 0.799; 2) 0.000

=====

1) The following is a DFT calculation (PBE-GGA) of a relaxed structure of MgTiPS2.

## Properties
Magnetic moment, μB/f.u.: 0.000

Cell lengths 4.6855, 4.6855, 4.7704 Å; angles 90.00, 90.00, 90.00 degrees
Element x y z (fractional)
P 0.0000 0.0000 0.5000
S 0.0000 0.5000 0.0000
S 0.5000 0.0000 0.0000
Mg 0.5000 0.5000 0.5000
Ti 0.0000 0.0000 0.0000

=====

2) The following is a DFT calculation (PBE-GGA) of a relaxed structure of MgTiPS2.

## Properties
Magnetic moment, μB/f.u.: 0.790

Cell lengths 4.7835, 4.5770, 4.7835 Å; angles 90.00, 90.00, 90.00 degrees
Last column: magnetic moment on the atom in μB.
Element x y z (fractional)
P 0.0000 0.0000 0.0000  -0.01
S 0.0000 0.0000 0.5000  0.04
S 0.5000 0.0000 0.0000  0.01
Mg 0.0000 0.5000 0.0000  0.01
Ti 0.5000 0.5000 0.5000  -0.74

=====

3) The following is a DFT calculation (PBE-GGA) of a relaxed structure of MgTiPS2.

## Properties
Magnetic moment, μB/f.u.: 0.002

Cell lengths 4.6356, 4.6356, 4.7608 Å; angles 90.00, 90.00, 90.00 degrees
Element x y z (fractional)
P 0.0000 0.0000 0.5000
S 0.0000 0.5000 0.0000
S 0.5000 0.0000 0.0000
Mg 0.0000 0.0000 0.0000
Ti 0.5000 0.5000 0.5000

=====

Energies relative to the minimum, eV/atom: 1) 0.000; 2) 0.865; 3) 0.796

=====

1) The following is a DFT calculation (PBE-GGA) of a relaxed structure of MgVPS2.

## Properties
Magnetic moment, μB/f.u.: 0.120

Cell lengths 4.6651, 4.6651, 4.7221 Å; angles 90.00, 90.00, 90.00 degrees
Last column: magnetic moment on the atom in μB.
Element x y z (fractional)
P 0.0000 0.0000 0.5000  -0.06
S 0.0000 0.5000 0.0000  -0.07
S 0.5000 0.0000 0.0000  -0.07
Mg 0.0000 0.0000 0.0000  0.00
V 0.5000 0.5000 0.5000  0.21

=====

2) The following is a DFT calculation (PBE-GGA) of a relaxed structure of MgVPS2.

## Properties
Magnetic moment, μB/f.u.: 0.050

Cell lengths 4.5208, 4.5208, 4.7525 Å; angles 90.00, 90.00, 90.00 degrees
Last column: magnetic moment on the atom in μB.
Element x y z (fractional)
P 0.0000 0.0000 0.5000  -0.01
S 0.0000 0.5000 0.0000  0.00
S 0.5000 0.0000 0.0000  0.00
Mg 0.5000 0.5000 0.5000  0.00
V 0.0000 0.0000 0.0000  0.06

=====

Energies relative to the minimum, eV/atom: 1) 0.990; 2) 0.000

=====

1) The following is a DFT calculation (PBE-GGA) of a relaxed structure of MgP2WS.

## Properties
Magnetic moment, μB/f.u.: 0.000

Cell lengths 4.6114, 4.6114, 4.5075 Å; angles 90.00, 90.00, 90.00 degrees
Element x y z (fractional)
P 0.0000 0.5000 0.0000
P 0.5000 0.0000 0.0000
S 0.0000 0.0000 0.5000
Mg 0.0000 0.0000 0.0000
W 0.5000 0.5000 0.5000

=====

2) The following is a DFT calculation (PBE-GGA) of a relaxed structure of MgP2WS.

## Properties
Magnetic moment, μB/f.u.: 0.000

Cell lengths 4.7703, 4.7703, 4.6558 Å; angles 90.00, 90.00, 90.00 degrees
Element x y z (fractional)
P 0.0000 0.5000 0.0000
P 0.5000 0.0000 0.0000
S 0.0000 0.0000 0.5000
Mg 0.5000 0.5000 0.5000
W 0.0000 0.0000 0.0000

=====

Energies relative to the minimum, eV/atom: 1) 1.303; 2) 0.000

=====

1) The following is a DFT calculation (PBE-GGA) of a relaxed structure of YMgP2S.

## Properties
Magnetic moment, μB/f.u.: 0.002

Cell lengths 5.2502, 5.2502, 5.1595 Å; angles 90.00, 90.00, 90.00 degrees
Element x y z (fractional)
Y 0.0000 0.0000 0.0000
P 0.0000 0.5000 0.0000
P 0.5000 0.0000 0.0000
S 0.0000 0.0000 0.5000
Mg 0.5000 0.5000 0.5000

=====

2) The following is a DFT calculation (PBE-GGA) of a relaxed structure of YMgP2S.

## Properties
Magnetic moment, μB/f.u.: 0.000

Cell lengths 4.7289, 4.7289, 4.8009 Å; angles 90.00, 90.00, 90.00 degrees
Element x y z (fractional)
Y 0.5000 0.5000 0.5000
P 0.0000 0.5000 0.0000
P 0.5000 0.0000 0.0000
S 0.0000 0.0000 0.5000
Mg 0.0000 0.0000 0.0000

=====

Energies relative to the minimum, eV/atom: 1) 0.309; 2) 0.000

=====

1) The following is a DFT calculation (PBE-GGA) of a relaxed structure of MgZnPS2.

## Properties
Magnetic moment, μB/f.u.: 0.189

Cell lengths 4.7421, 4.7421, 4.9140 Å; angles 90.00, 90.00, 90.00 degrees
Last column: magnetic moment on the atom in μB.
Element x y z (fractional)
Mg 0.0000 0.0000 0.0000  0.00
P 0.0000 0.0000 0.5000  0.06
Zn 0.5000 0.5000 0.5000  0.00
S 0.0000 0.5000 0.0000  0.02
S 0.5000 0.0000 0.0000  0.02

=====

2) The following is a DFT calculation (PBE-GGA) of a relaxed structure of MgZnPS2.

## Properties
Magnetic moment, μB/f.u.: 0.000

Cell lengths 4.8491, 4.8491, 4.4260 Å; angles 90.00, 90.00, 90.00 degrees
Element x y z (fractional)
Mg 0.5000 0.5000 0.5000
P 0.0000 0.0000 0.5000
Zn 0.0000 0.0000 0.0000
S 0.0000 0.5000 0.0000
S 0.5000 0.0000 0.0000

=====

3) The following is a DFT calculation (PBE-GGA) of a relaxed structure of MgZnPS2.

## Properties
Magnetic moment, μB/f.u.: 0.000

Cell lengths 4.7179, 4.7601, 4.7179 Å; angles 90.00, 90.00, 90.00 degrees
Element x y z (fractional)
Mg 0.0000 0.5000 0.0000
P 0.0000 0.0000 0.0000
Zn 0.5000 0.5000 0.5000
S 0.0000 0.0000 0.5000
S 0.5000 0.0000 0.0000

=====

Energies relative to the minimum, eV/atom: 1) 0.315; 2) 0.097; 3) 0.000